Record 1
Compound: SiTc
Source: Alexandria via LeMat-Bulk
Functional: GGA-PBE
Structure: relaxed

Lattice parameters (Å, degrees): 3.759 3.759 4.843 90.00 90.00 120.00
Atoms (fractional coordinates):
Si: 0.000 0.000 0.000
Si: 0.000 0.000 0.500
Tc: 0.333 0.667 0.250
Tc: 0.667 0.333 0.750

Properties
* raw total energy: -7.981 eV/atom
* density of states at the Fermi level: 1.356 states/eV per atom
* distance to the lowest polymorph of the same formula: 0.435 eV per atom

---

Record 2
Compound: SiTc
Source: Alexandria via LeMat-Bulk
Functional: GGA-PBE
Structure: relaxed

Lattice parameters (Å, degrees): 4.628 4.628 4.019 90.00 90.00 140.95
Atoms (fractional coordinates):
Si: 0.089 0.911 0.750
Si: 0.911 0.089 0.250
Tc: 0.366 0.634 0.750
Tc: 0.634 0.366 0.250

Properties
* raw total energy: -8.362 eV/atom
* density of states at the Fermi level: 0.794 states/eV per atom
* distance to the lowest polymorph of the same formula: 0.054 eV per atom

---

Record 3
Compound: SiTc
Source: Alexandria via LeMat-Bulk
Functional: GGA-PBE
Structure: relaxed

Lattice parameters (Å, degrees): 4.121 4.121 4.813 90.00 90.00 120.00
Atoms (fractional coordinates):
Si: 0.333 0.667 0.250
Si: 0.667 0.333 0.750
Tc: 0.333 0.667 0.750
Tc: 0.667 0.333 0.250

Properties
* raw total energy: -7.709 eV/atom
* density of states at the Fermi level: 1.285 states/eV per atom
* distance to the lowest polymorph of the same formula: 0.707 eV per atom

---

Record 4
Compound: Si7Tc4
Source: Alexandria via LeMat-Bulk
Functional: GGA-PBE
Structure: relaxed

Lattice parameters (Å, degrees): 5.770 5.770 18.172 90.00 90.00 90.00
Atoms (fractional coordinates):
Si: 0.150 0.192 0.115
Si: 0.150 0.808 0.615
Si: 0.153 0.329 0.816
Si: 0.153 0.671 0.316
Si: 0.192 0.150 0.385
Si: 0.192 0.850 0.885
Si: 0.227 0.349 0.540
Si: 0.227 0.651 0.040
Si: 0.329 0.153 0.684
Si: 0.329 0.847 0.184
Si: 0.341 0.341 0.250
Si: 0.341 0.659 0.750
Si: 0.349 0.227 0.960
Si: 0.349 0.773 0.460
Si: 0.651 0.227 0.460
Si: 0.651 0.773 0.960
Si: 0.659 0.341 0.750
Si: 0.659 0.659 0.250
Si: 0.671 0.153 0.184
Si: 0.671 0.847 0.684
Si: 0.773 0.349 0.040
Si: 0.773 0.651 0.540
Si: 0.808 0.150 0.885
Si: 0.808 0.850 0.385
Si: 0.847 0.329 0.316
Si: 0.847 0.671 0.816
Si: 0.850 0.192 0.615
Si: 0.850 0.808 0.115
Tc: 0.000 0.000 0.000
Tc: 0.000 0.000 0.250
Tc: 0.000 0.000 0.500
Tc: 0.000 0.000 0.750
Tc: 0.000 0.500 0.193
Tc: 0.000 0.500 0.435
Tc: 0.000 0.500 0.693
Tc: 0.000 0.500 0.935
Tc: 0.500 0.000 0.065
Tc: 0.500 0.000 0.307
Tc: 0.500 0.000 0.565
Tc: 0.500 0.000 0.807
Tc: 0.500 0.500 0.130
Tc: 0.500 0.500 0.370
Tc: 0.500 0.500 0.630
Tc: 0.500 0.500 0.870

Properties
* raw total energy: -7.792 eV/atom

---

Record 5
Compound: Si3Tc4
Source: Alexandria via LeMat-Bulk
Functional: GGA-PBE
Structure: relaxed

Lattice parameters (Å, degrees): 4.786 4.786 4.760 90.00 90.00 120.00
Atoms (fractional coordinates):
Si: 0.000 0.500 0.000
Si: 0.500 0.000 0.000
Si: 0.500 0.500 0.000
Tc: 0.000 0.000 0.258
Tc: 0.000 0.000 0.742
Tc: 0.333 0.667 0.500
Tc: 0.667 0.333 0.500

Properties
* raw total energy: -8.152 eV/atom
* density of states at the Fermi level: 0.968 states/eV per atom
* distance to the lowest polymorph of the same formula: 0.485 eV per atom

---

Record 6
Compound: SiTc2
Source: Alexandria via LeMat-Bulk
Functional: GGA-PBE
Structure: relaxed

Lattice parameters (Å, degrees): 4.094 4.094 2.797 90.00 90.00 90.00
Atoms (fractional coordinates):
Si: 0.000 0.000 0.000
Tc: 0.000 0.500 0.500
Tc: 0.500 0.000 0.500

Properties
* raw total energy: -8.354 eV/atom
* density of states at the Fermi level: 1.534 states/eV per atom
* distance to the lowest polymorph of the same formula: 0.775 eV per atom

---

Record 7
Compound: SiTc2
Source: Alexandria via LeMat-Bulk
Functional: GGA-PBE
Structure: relaxed

Lattice parameters (Å, degrees): 2.787 2.787 6.250 90.00 90.00 120.00
Atoms (fractional coordinates):
Si: 0.000 0.000 0.000
Tc: 0.333 0.667 0.670
Tc: 0.667 0.333 0.330

Properties
* raw total energy: -8.870 eV/atom
* density of states at the Fermi level: 0.657 states/eV per atom
* distance to the lowest polymorph of the same formula: 0.258 eV per atom

---

Record 8
Compound: SiTc
Source: Alexandria via LeMat-Bulk
Functional: GGA-PBE
Structure: relaxed

Lattice parameters (Å, degrees): 2.899 4.460 4.220 90.00 90.00 90.00
Atoms (fractional coordinates):
Si: 0.250 0.250 0.091
Si: 0.750 0.750 0.909
Tc: 0.250 0.750 0.398
Tc: 0.750 0.250 0.602

Properties
* raw total energy: -8.211 eV/atom
* density of states at the Fermi level: 0.782 states/eV per atom
* distance to the lowest polymorph of the same formula: 0.204 eV per atom